Model P:
Here is crystalline AgPtF6 at its relaxed geometry from Alexandria. Energies are from PBE.

Summary:
Theoretical density ... 5.8 g/cm3

a = 8.0911 Å, b = 6.1714 Å, c = 5.2735 Å
α = 90.00°, β = 114.69°, γ = 90.00°
With the nearest neighbours (Å) after each atom.
Space group C2/m (No. 12)
Symmetry-distinct sites (fractional):
Ag1 0.0000 0.0000 0.0000 (multiplicity 2)  6 F 2.28-2.45
Pt1 0.0000 0.5000 0.5000 (multiplicity 2)  6 F 1.94-1.96
F1 0.0814 0.2797 0.7937 (multiplicity 8)  1 Pt 1.96
F2 0.2486 0.5000 0.5336 (multiplicity 4)  1 Pt 1.94

=====

Model Q:
Here is crystalline AgPtF6 at its relaxed geometry from Alexandria. Energies are from PBE.

Summary:
Theoretical density ... 5.8 g/cm3

a = 5.2571 Å, b = 5.2574 Å, c = 10.3898 Å
α = 75.41°, β = 75.39°, γ = 60.03°
With the nearest neighbours (Å) after each atom.
Space group P-1 (No. 2)
Symmetry-distinct sites (fractional):
Ag1 0.0000 0.0000 0.0000 (multiplicity 1)  6 F 2.29-2.34
Ag2 0.5000 0.5000 0.5000 (multiplicity 1)  6 F 2.30-2.35
Pt1 0.2465 0.2585 0.2499 (multiplicity 2)  6 F 1.95-1.96
F1 0.0251 0.4071 0.8645 (multiplicity 2)  1 Pt 1.96
F2 0.0874 0.7934 0.6354 (multiplicity 2)  1 Pt 1.96
F3 0.1968 0.5290 0.3644 (multiplicity 2)  1 Pt 1.96
F4 0.2969 0.9884 0.1352 (multiplicity 2)  1 Pt 1.96
F5 0.4194 0.6920 0.8648 (multiplicity 2)  1 Pt 1.95
F6 0.4846 0.0751 0.6354 (multiplicity 2)  1 Pt 1.95

=====

Model R:
Here is crystalline AgPtF6 at its relaxed geometry from Alexandria. Energies are from PBE.

Summary:
Theoretical density ... 5.9 g/cm3

a = 5.1996 Å, b = 5.1996 Å, c = 9.9999 Å
α = 90.00°, β = 90.00°, γ = 120.00°
With the nearest neighbours (Å) after each atom.
Space group P-31c (No. 163)
Symmetry-distinct sites (fractional):
Ag1 0.3333 0.6667 0.2500 (multiplicity 2)  6 F 2.33
Pt1 0.0000 0.0000 0.0000 (multiplicity 2)  6 F 1.96
F1 0.0202 0.3156 0.6139 (multiplicity 12)  1 Pt 1.96

=====

Of them, the most stable is model Q and the least stable is model P.

=====

Model P:
Here is crystalline AgPt2F at its relaxed geometry from Alexandria. Energies are from PBE.

Summary:
Theoretical density ... 14.0 g/cm3

a = 6.2661 Å, b = 6.2661 Å, c = 6.2661 Å
α = 90.00°, β = 90.00°, γ = 90.00°
With the nearest neighbours (Å) after each atom.
Space group Fm-3m (No. 225)
Symmetry-distinct sites (fractional):
Ag1 0.0000 0.0000 0.0000 (multiplicity 4)  8 Pt 2.71
Pt1 0.2500 0.2500 0.2500 (multiplicity 8)  4 F 2.71, 4 Ag 2.71
F1 0.0000 0.0000 0.5000 (multiplicity 4)  8 Pt 2.71

=====

Model Q:
Here is crystalline AgPt2F at its relaxed geometry from Alexandria. Energies are from PBE.

Summary:
Theoretical density ... 13.4 g/cm3

a = 7.0884 Å, b = 7.0884 Å, c = 5.0995 Å
α = 90.00°, β = 90.00°, γ = 90.00°
With the nearest neighbours (Å) after each atom.
Space group I-42d (No. 122)
Symmetry-distinct sites (fractional):
Ag1 0.0000 0.0000 0.0000 (multiplicity 4)  2 F 2.55, 4 Pt 2.82
Pt1 0.2046 0.2500 0.6250 (multiplicity 8)  2 F 2.38, 2 Pt 2.63
F1 0.0000 0.0000 0.5000 (multiplicity 4)  4 Pt 2.38, 2 Ag 2.55

=====

Of them, the most stable is model Q and the least stable is model P.

=====

Model P:
Here is crystalline AgPtF3 at its relaxed geometry from Alexandria. Energies are from PBE.

Summary:
Theoretical density ... 7.5 g/cm3

a = 4.3064 Å, b = 4.3064 Å, c = 4.3064 Å
α = 90.00°, β = 90.00°, γ = 90.00°
With the nearest neighbours (Å) after each atom.
Space group Pm-3m (No. 221)
Symmetry-distinct sites (fractional):
Ag1 0.0000 0.0000 0.0000 (multiplicity 1)  12 F 3.05
Pt1 0.5000 0.5000 0.5000 (multiplicity 1)  6 F 2.15
F1 0.0000 0.5000 0.5000 (multiplicity 3)  2 Pt 2.15

=====

Model Q:
Here is crystalline AgPtF3 at its relaxed geometry from Alexandria. Energies are from PBE.

Summary:
Theoretical density ... 7.4 g/cm3

a = 4.3140 Å, b = 4.3140 Å, c = 4.3140 Å
α = 90.00°, β = 90.00°, γ = 90.00°
With the nearest neighbours (Å) after each atom.
Space group Pm-3m (No. 221)
Symmetry-distinct sites (fractional):
Ag1 0.0000 0.0000 0.0000 (multiplicity 1)  6 F 2.16
Pt1 0.5000 0.5000 0.5000 (multiplicity 1)  12 F 3.05
F1 0.0000 0.0000 0.5000 (multiplicity 3)  2 Ag 2.16

=====

Of them, the most stable is model P and the least stable is model Q.

=====

Model P:
Here is crystalline RbAg2F8 at its relaxed geometry from Alexandria. Energies are from PBE.

Summary:
Theoretical density ... 3.6 g/cm3

a = 4.8049 Å, b = 6.7132 Å, c = 6.7402 Å
α = 77.89°, β = 82.25°, γ = 82.46°
With the nearest neighbours (Å) after each atom.
Space group P-1 (No. 2)
Symmetry-distinct sites (fractional):
Rb1 0.0000 0.0000 0.0000 (multiplicity 1)  6 F 2.83-2.87
Ag1 0.2938 0.3748 0.3751 (multiplicity 2)  4 F 1.94-2.02
F1 0.2249 0.5707 0.5710 (multiplicity 2)  1 Ag 2.02
F2 0.2862 0.1465 0.6050 (multiplicity 2)  1 Ag 1.94
F3 0.2890 0.6061 0.1482 (multiplicity 2)  1 Ag 1.94
F4 0.3629 0.1862 0.1864 (multiplicity 2)  1 Ag 1.95

=====

Model Q:
Here is crystalline RbAg2F8 at its relaxed geometry from Alexandria. Energies are from PBE.

Summary:
Theoretical density ... 4.0 g/cm3

a = 5.2421 Å, b = 5.2421 Å, c = 6.8891 Å
α = 90.00°, β = 90.00°, γ = 90.00°
With the nearest neighbours (Å) after each atom.
Space group P4/mmm (No. 123)
Symmetry-distinct sites (fractional):
Rb1 0.0000 0.0000 0.0000 (multiplicity 1)  8 F 2.88
Ag1 0.0000 0.5000 0.5000 (multiplicity 2)  8 F 2.24
F1 0.2517 0.2517 0.3179 (multiplicity 8)  2 Ag 2.24

=====

Of them, the most stable is model P and the least stable is model Q.

=====

Model P:
Here is crystalline Rb2AgF at its relaxed geometry from Alexandria. Energies are from PBE.

Summary:
Theoretical density ... 3.8 g/cm3

a = 8.0665 Å, b = 8.0665 Å, c = 8.0665 Å
α = 90.00°, β = 90.00°, γ = 90.00°
With the nearest neighbours (Å) after each atom.
Space group Fm-3m (No. 225)
Symmetry-distinct sites (fractional):
Rb1 0.2500 0.2500 0.2500 (multiplicity 8)  4 F 3.49, 4 Ag 3.49
Ag1 0.0000 0.0000 0.0000 (multiplicity 4)  8 Rb 3.49
F1 0.0000 0.0000 0.5000 (multiplicity 4)  8 Rb 3.49

=====

Model Q:
Here is crystalline Rb2AgF at its relaxed geometry from Alexandria. Energies are from PBE.

Summary:
Theoretical density ... 3.7 g/cm3

a = 4.3825 Å, b = 4.3825 Å, c = 24.2091 Å
α = 90.00°, β = 90.00°, γ = 120.00°
With the nearest neighbours (Å) after each atom.
Space group R-3m (No. 166, hexagonal axes)
Symmetry-distinct sites (fractional):
Rb1 0.0000 0.0000 0.2311 (multiplicity 6)  3 F 2.97
Ag1 0.0000 0.0000 0.0000 (multiplicity 3)  6 Rb 3.54
F1 0.0000 0.0000 0.5000 (multiplicity 3)  6 Rb 2.97

=====

Of them, the most stable is model Q and the least stable is model P.

=====

Model P:
Here is crystalline Rb2AgF at its relaxed geometry from Alexandria. Energies are from PBE.

Summary:
Theoretical density ... 3.7 g/cm3

a = 4.3370 Å, b = 4.3370 Å, c = 24.5600 Å
α = 90.00°, β = 90.00°, γ = 120.00°
With the nearest neighbours (Å) after each atom.
Space group R3m (No. 160, hexagonal axes)
Symmetry-distinct sites (fractional):
Rb1 0.0000 0.0000 0.0000 (multiplicity 3)  3 F 2.96
Rb2 0.0000 0.0000 0.2041 (multiplicity 3)  3 F 2.96
Ag1 0.0000 0.0000 0.7691 (multiplicity 3)  6 Rb 3.54-3.55
F1 0.0000 0.0000 0.6020 (multiplicity 3)  6 Rb 2.96

=====

Model Q:
Here is crystalline Rb2AgF at its relaxed geometry from Alexandria. Energies are from PBE.

Summary:
Theoretical density ... 3.1 g/cm3

a = 8.1567 Å, b = 8.1567 Å, c = 9.5146 Å
α = 90.00°, β = 90.00°, γ = 90.00°
With the nearest neighbours (Å) after each atom.
Space group I-42d (No. 122)
Symmetry-distinct sites (fractional):
Rb1 0.1587 0.7500 0.1250 (multiplicity 8)  2 F 2.69
Ag1 0.0000 0.0000 0.5000 (multiplicity 4)  4 Rb 3.65
F1 0.0000 0.0000 0.0000 (multiplicity 4)  4 Rb 2.69

=====

Of them, the most stable is model Q and the least stable is model P.